Entry from Alexandria: an optimized crystal structure of AlCd2P (PBEsol).

Unit cell a=5.3526 b=5.4959 c=5.7251 alpha=90.00 beta=112.32 gamma=90.00
Space group C2/m (No. 12)
One atom of each set of equivalent atoms:
1 Al 0.0000 0.0000 0.0000 (multiplicity 2)
2 Cd 0.0000 0.0000 0.5000 (multiplicity 2)
3 Cd 0.0000 0.5000 0.5000 (multiplicity 2)
4 P 0.0000 0.5000 0.0000 (multiplicity 2)

Summary:
Fermi-level density of states = 2.853 states/eV/cell
Relative energy among the computed polymorphs = 0.00 eV/f.u.
VASP energy = -2.898 eV/atom

Entry from Alexandria: an optimized crystal structure of MgZrAu2 (PBEsol).

Unit cell a=3.0996 b=4.8522 c=4.9139 alpha=90.00 beta=90.00 gamma=90.00
Space group Pmm2 (No. 25)
One atom of each set of equivalent atoms:
1 Mg 0.0000 0.0000 0.0000 (multiplicity 1)
2 Zr 0.0000 0.5000 0.5433 (multiplicity 1)
3 Au 0.5000 0.0000 0.4815 (multiplicity 1)
4 Au 0.5000 0.5000 0.0466 (multiplicity 1)

Summary:
Fermi-level density of states = 2.496 states/eV/cell
VASP energy = -5.202 eV/atom

Entry from Alexandria: an optimized crystal structure of InRe2Ni (PBEsol).

Unit cell a=2.7233 b=4.4780 c=4.9739 alpha=90.00 beta=101.15 gamma=90.00
Space group P2/m (No. 10)
One atom of each set of equivalent atoms:
1 In 0.0000 0.0000 0.0000 (multiplicity 1)
2 Re 0.3020 0.5000 0.7390 (multiplicity 2)
3 Ni 0.5000 0.0000 0.5000 (multiplicity 1)

Summary:
Fermi-level density of states = 3.367 states/eV/cell
VASP energy = -8.476 eV/atom

Entry from Alexandria: an optimized crystal structure of YBeW (PBEsol).

Unit cell a=3.2468 b=3.2468 c=9.8437 alpha=90.00 beta=90.00 gamma=90.00
Space group I4mm (No. 107)
One atom of each set of equivalent atoms:
1 Y 0.0000 0.0000 0.0000 (multiplicity 2)
2 Be 0.0000 0.0000 0.2818 (multiplicity 2)
3 W 0.0000 0.0000 0.7045 (multiplicity 2)

Summary:
Fermi-level density of states = 3.968 states/eV/cell
Relative energy among the computed polymorphs = 0.00 eV/f.u.
VASP energy = -7.827 eV/atom

Entry from Alexandria: an optimized crystal structure of TaCd2Sb (PBEsol).

Unit cell a=5.6047 b=9.9052 c=3.0684 alpha=90.00 beta=105.89 gamma=90.00
Space group C2/m (No. 12)
One atom of each set of equivalent atoms:
1 Ta 0.0000 0.0000 0.0000 (multiplicity 2)
2 Cd 0.2500 0.2500 0.5000 (multiplicity 4)
3 Sb 0.0000 0.5000 0.0000 (multiplicity 2)

Summary:
Fermi-level density of states = 5.151 states/eV/cell
Uncorrected formation energy = 30 kJ per mole of atoms
VASP energy = -4.562 eV/atom

Entry from Alexandria: an optimized crystal structure of RbTlO2 (PBEsol).

Unit cell a=6.3522 b=6.3522 c=7.8954 alpha=90.00 beta=90.00 gamma=90.00
Space group I-42d (No. 122)
One atom of each set of equivalent atoms:
1 Rb 0.0000 0.0000 0.0000 (multiplicity 4)
2 Tl 0.0000 0.0000 0.5000 (multiplicity 4)
3 O 0.1700 0.7500 0.6250 (multiplicity 8)

Summary:
Uncorrected formation energy = -94 kJ per mole of atoms
VASP energy = -4.515 eV/atom

Entry from Alexandria: an optimized crystal structure of KPrSe2O8 (PBEsol).

Unit cell a=8.7898 b=7.3663 c=11.0803 alpha=90.00 beta=91.57 gamma=90.00
Space group P2_1/c (No. 14)
One atom of each set of equivalent atoms:
1 K 0.0664 0.1441 0.3420 (multiplicity 4)
2 Pr 0.4433 0.6652 0.6524 (multiplicity 4)
3 Se 0.2181 0.6584 0.4108 (multiplicity 4)
4 Se 0.3093 0.1625 0.6078 (multiplicity 4)
5 O 0.0869 0.5176 0.3629 (multiplicity 4)
6 O 0.1241 0.1480 0.6018 (multiplicity 4)
7 O 0.1935 0.7451 0.0455 (multiplicity 4)
8 O 0.2503 0.6792 0.8092 (multiplicity 4)
9 O 0.3643 0.1599 0.1959 (multiplicity 4)
10 O 0.3782 0.1649 0.4702 (multiplicity 4)
11 O 0.3830 0.5491 0.4456 (multiplicity 4)
12 O 0.3976 0.5037 0.1887 (multiplicity 4)

Summary:
Fermi-level density of states = 0.000 states/eV/cell
Uncorrected formation energy = -150 kJ per mole of atoms
VASP energy = -6.224 eV/atom

Entry from Alexandria: an optimized crystal structure of NaSbMoI2 (PBEsol).

Unit cell a=5.7172 b=5.7172 c=5.1527 alpha=90.00 beta=90.00 gamma=90.00
Space group P4/mmm (No. 123)
One atom of each set of equivalent atoms:
1 Na 0.0000 0.0000 0.0000 (multiplicity 1)
2 Sb 0.5000 0.5000 0.0000 (multiplicity 1)
3 Mo 0.5000 0.5000 0.5000 (multiplicity 1)
4 I 0.0000 0.5000 0.5000 (multiplicity 2)

Summary:
Fermi-level density of states = 2.035 states/eV/cell
Uncorrected formation energy = 13 kJ per mole of atoms
VASP energy = -4.118 eV/atom

Entry from Alexandria: an optimized crystal structure of K2RbLaV2O8 (PBEsol).

Unit cell a=6.0640 b=6.0640 c=7.7493 alpha=90.00 beta=90.00 gamma=120.00
Space group P-3m1 (No. 164)
One atom of each set of equivalent atoms:
1 K 0.3333 0.6667 0.1938 (multiplicity 2)
2 Rb 0.0000 0.0000 0.5000 (multiplicity 1)
3 La 0.0000 0.0000 0.0000 (multiplicity 1)
4 V 0.3333 0.6667 0.7356 (multiplicity 2)
5 O 0.1785 0.3570 0.8144 (multiplicity 6)
6 O 0.3333 0.6667 0.5218 (multiplicity 2)

Summary:
Fermi-level density of states = 0.000 states/eV/cell
Uncorrected formation energy = -246 kJ per mole of atoms
VASP energy = -7.547 eV/atom

Entry from Alexandria: an optimized crystal structure of ScTc2Se (PBEsol).

Unit cell a=3.1142 b=3.1142 c=6.3442 alpha=90.00 beta=90.00 gamma=90.00
Space group P4/mmm (No. 123)
One atom of each set of equivalent atoms:
1 Sc 0.0000 0.0000 0.0000 (multiplicity 1)
2 Tc 0.5000 0.5000 0.2729 (multiplicity 2)
3 Se 0.0000 0.0000 0.5000 (multiplicity 1)

Summary:
Fermi-level density of states = 3.784 states/eV/cell
Uncorrected formation energy = -2 kJ per mole of atoms
VASP energy = -8.273 eV/atom

Entry from Alexandria: an optimized crystal structure of K2NiBr (PBEsol).

Unit cell a=3.7765 b=3.7765 c=8.1282 alpha=90.00 beta=90.00 gamma=90.00
Space group P4/mmm (No. 123)
One atom of each set of equivalent atoms:
1 K 0.0000 0.0000 0.2396 (multiplicity 2)
2 Ni 0.5000 0.5000 0.5000 (multiplicity 1)
3 Br 0.5000 0.5000 0.0000 (multiplicity 1)

Summary:
Fermi-level density of states = 8.320 states/eV/cell
Relative energy among the computed polymorphs = 0.00 eV/f.u.
Uncorrected formation energy = -17 kJ per mole of atoms
VASP energy = -2.750 eV/atom

Entry from Alexandria: an optimized crystal structure of GdFe3B4O12 (PBEsol).

Unit cell a=9.4659 b=9.4659 c=7.4086 alpha=90.00 beta=90.00 gamma=120.00
Space group P3_121 (No. 152)
One atom of each set of equivalent atoms:
1 Gd 0.0000 0.6592 0.1667 (multiplicity 3)
2 Fe 0.0000 0.1046 0.1667 (multiplicity 3)
3 Fe 0.2144 0.5522 0.8452 (multiplicity 6)
4 B 0.0000 0.2215 0.6667 (multiplicity 3)
5 B 0.0000 0.6749 0.6667 (multiplicity 3)
6 B 0.1224 0.4374 0.3466 (multiplicity 6)
7 O 0.0000 0.0737 0.6667 (multiplicity 3)
8 O 0.0000 0.8245 0.6667 (multiplicity 3)
9 O 0.0083 0.4687 0.9796 (multiplicity 6)
10 O 0.1184 0.2923 0.3115 (multiplicity 6)
11 O 0.1457 0.6776 0.6796 (multiplicity 6)
12 O 0.1479 0.3608 0.6884 (multiplicity 6)
13 O 0.2772 0.5672 0.3842 (multiplicity 6)

Summary:
Fermi-level density of states = 21.782 states/eV/cell
Uncorrected formation energy = -199 kJ per mole of atoms
VASP energy = -8.687 eV/atom

Entry from Alexandria: an optimized crystal structure of Li2TeIr (PBEsol).

Unit cell a=4.3895 b=4.3895 c=6.1937 alpha=90.00 beta=90.00 gamma=90.00
Space group I-4m2 (No. 119)
One atom of each set of equivalent atoms:
1 Li 0.0000 0.0000 0.0000 (multiplicity 2)
2 Li 0.0000 0.5000 0.2500 (multiplicity 2)
3 Te 0.0000 0.5000 0.7500 (multiplicity 2)
4 Ir 0.0000 0.0000 0.5000 (multiplicity 2)

Summary:
Fermi-level density of states = 3.194 states/eV/cell
Uncorrected formation energy = -36 kJ per mole of atoms
VASP energy = -4.690 eV/atom

Entry from Alexandria: an optimized crystal structure of Sr2ZnPtSe (PBEsol).

Unit cell a=5.7737 b=5.7737 c=4.6976 alpha=90.00 beta=90.00 gamma=90.00
Space group P4/mmm (No. 123)
One atom of each set of equivalent atoms:
1 Sr 0.0000 0.5000 0.0000 (multiplicity 2)
2 Zn 0.0000 0.0000 0.5000 (multiplicity 1)
3 Pt 0.5000 0.5000 0.5000 (multiplicity 1)
4 Se 0.5000 0.5000 0.0000 (multiplicity 1)

Summary:
Fermi-level density of states = 3.258 states/eV/cell
Uncorrected formation energy = -37 kJ per mole of atoms
VASP energy = -3.597 eV/atom

Entry from Alexandria: an optimized crystal structure of CuHgMo2 (PBEsol).

Unit cell a=2.6883 b=2.6883 c=8.5634 alpha=90.00 beta=90.00 gamma=90.00
Space group P4mm (No. 99)
One atom of each set of equivalent atoms:
1 Cu 0.0000 0.0000 0.0000 (multiplicity 1)
2 Hg 0.5000 0.5000 0.2449 (multiplicity 1)
3 Mo 0.0000 0.0000 0.5182 (multiplicity 1)
4 Mo 0.5000 0.5000 0.7797 (multiplicity 1)

Summary:
Fermi-level density of states = 2.307 states/eV/cell
VASP energy = -6.729 eV/atom

Entry from Alexandria: an optimized crystal structure of Hf2TeAs (PBEsol).

Unit cell a=6.7851 b=6.7851 c=6.7851 alpha=90.00 beta=90.00 gamma=90.00
Space group Fm-3m (No. 225)
One atom of each set of equivalent atoms:
1 Hf 0.2500 0.2500 0.2500 (multiplicity 8)
2 Te 0.0000 0.0000 0.0000 (multiplicity 4)
3 As 0.0000 0.0000 0.5000 (multiplicity 4)

Summary:
Fermi-level density of states = 9.409 states/eV/cell
Uncorrected formation energy = -63 kJ per mole of atoms
VASP energy = -8.065 eV/atom

Entry from Alexandria: an optimized crystal structure of BaSc2Te (PBEsol).

Unit cell a=4.6886 b=4.6886 c=10.0470 alpha=90.00 beta=90.00 gamma=90.00
Space group I4/mmm (No. 139)
One atom of each set of equivalent atoms:
1 Ba 0.0000 0.0000 0.0000 (multiplicity 2)
2 Sc 0.0000 0.5000 0.2500 (multiplicity 4)
3 Te 0.0000 0.0000 0.5000 (multiplicity 2)

Summary:
Fermi-level density of states = 10.210 states/eV/cell
Uncorrected formation energy = -20 kJ per mole of atoms
VASP energy = -4.931 eV/atom

Entry from Alexandria: an optimized crystal structure of InH3W (PBEsol).

Unit cell a=3.6004 b=3.6004 c=3.6004 alpha=90.00 beta=90.00 gamma=90.00
Space group Pm-3m (No. 221)
One atom of each set of equivalent atoms:
1 In 0.0000 0.0000 0.0000 (multiplicity 1)
2 H 0.0000 0.5000 0.5000 (multiplicity 3)
3 W 0.5000 0.5000 0.5000 (multiplicity 1)

Summary:
Fermi-level density of states = 1.078 states/eV/cell
VASP energy = -4.911 eV/atom

Entry from Alexandria: an optimized crystal structure of Y5Cu3 (PBEsol).

Unit cell a=8.2066 b=8.2066 c=6.3239 alpha=90.00 beta=90.00 gamma=120.00
Space group P6_3/mcm (No. 193)
One atom of each set of equivalent atoms:
1 Y 0.0000 0.2444 0.2500 (multiplicity 6)
2 Y 0.3333 0.6667 0.0000 (multiplicity 4)
3 Cu 0.0000 0.4011 0.7500 (multiplicity 6)

Summary:
Fermi-level density of states = 18.361 states/eV/cell
VASP energy = -5.988 eV/atom

Entry from Alexandria: an optimized crystal structure of CaTaTe2 (PBEsol).

Unit cell a=3.6812 b=3.8137 c=14.1566 alpha=90.00 beta=90.00 gamma=90.00
Space group Imm2 (No. 44)
One atom of each set of equivalent atoms:
1 Ca 0.0000 0.0000 0.0000 (multiplicity 2)
2 Ta 0.0000 0.5000 0.2505 (multiplicity 2)
3 Te 0.0000 0.0000 0.6049 (multiplicity 2)
4 Te 0.0000 0.5000 0.8293 (multiplicity 2)

Summary:
Fermi-level density of states = 6.231 states/eV/cell
Relative energy among the computed polymorphs = 0.00 eV/f.u.
Uncorrected formation energy = -50 kJ per mole of atoms
VASP energy = -5.952 eV/atom